No. 1
Computed, not measured: an optimized crystal structure of BaTlTeI2 at the GGA-PBE level of DFT.

Cell lengths 6.7037, 6.7037, 6.7482 Å; angles 90.00, 90.00, 90.00 degrees
Atoms (fractional coordinates):
Ba  0.0000  0.0000  0.0000
Tl  0.5000  0.5000  0.5000
Te  0.0000  0.0000  0.5000
I  0.0000  0.5000  0.0000
I  0.5000  0.0000  0.0000

Results
SG ... P4/mmm
DOS at the Fermi energy ... 6.1 states/eV/cell

***

No. 2
Computed, not measured: an optimized crystal structure of Pr8Te4Se3Br at the GGA-PBE level of DFT.

Cell lengths 8.7905, 8.7905, 8.7905 Å; angles 60.48, 60.48, 60.48 degrees
Atoms (fractional coordinates):
Pr  0.2275  0.7476  0.7476
Pr  0.2391  0.2391  0.2391
Pr  0.2524  0.2524  0.7725
Pr  0.2524  0.7725  0.2524
Pr  0.7476  0.2275  0.7476
Pr  0.7476  0.7476  0.2275
Pr  0.7609  0.7609  0.7609
Pr  0.7725  0.2524  0.2524
Te  0.0000  0.0000  0.0000
Te  0.0000  0.5000  0.5000
Te  0.5000  0.0000  0.5000
Te  0.5000  0.5000  0.0000
Se  0.0000  0.0000  0.5000
Se  0.0000  0.5000  0.0000
Se  0.5000  0.0000  0.0000
Br  0.5000  0.5000  0.5000

Results
SG ... R-3m
DOS at the Fermi energy ... 8.2 states/eV/cell

***

Per-record E_form (uncorrected), eV per atom: -0.716; -1.550